(1)
Here is Tb4Er5Tl after structural relaxation from the Alexandria database. Energies are from GGA-PBE.

abc: 3.545 3.545 24.252
angles: 90.00 90.00 90.00
Sites, in units of the cell vectors:
Tb: 0.000 0.000 0.190
Tb: 0.000 0.000 0.397
Tb: 0.000 0.000 0.603
Tb: 0.000 0.000 0.810
Er: 0.500 0.500 0.088
Er: 0.500 0.500 0.294
Er: 0.500 0.500 0.500
Er: 0.500 0.500 0.706
Er: 0.500 0.500 0.912
Tl: 0.000 0.000 0.000

Computed properties:
Magnetization = 0.0 μB/f.u.
Polymorph energy (0 for the lowest one) = 0 meV per atom
ΔH_f (0 K) = -54.9 meV/atom

=====

(2)
Here is Tb2Er5Tl after structural relaxation from the Alexandria database. Energies are from GGA-PBE.

abc: 3.508 9.512 9.288
angles: 120.80 112.16 90.00
Sites, in units of the cell vectors:
Tb: 0.461 0.731 0.461
Tb: 0.539 0.269 0.539
Er: 0.000 0.500 0.000
Er: 0.745 0.356 0.245
Er: 0.255 0.644 0.755
Er: 0.745 0.889 0.245
Er: 0.255 0.111 0.755
Tl: 0.000 0.000 0.000

Computed properties:
Magnetization = 0.0 μB/f.u.
Polymorph energy (0 for the lowest one) = 0 meV per atom
ΔH_f (0 K) = -56.5 meV/atom

=====

(3)
Here is Tb5Er3Tl after structural relaxation from the Alexandria database. Energies are from GGA-PBE.

abc: 7.704 7.704 13.643
angles: 62.76 62.76 61.44
Sites, in units of the cell vectors:
Tb: 0.988 0.451 0.241
Tb: 0.330 0.670 0.000
Tb: 0.729 0.729 0.027
Tb: 0.527 0.527 0.386
Tb: 0.473 0.473 0.614
Tb: 0.271 0.271 0.973
Tb: 0.451 0.988 0.241
Tb: 0.670 0.330 0.000
Tb: 0.012 0.549 0.759
Tb: 0.549 0.012 0.759
Er: 0.578 0.578 0.752
Er: 0.765 0.765 0.447
Er: 0.000 0.000 0.000
Er: 0.000 0.000 0.500
Er: 0.422 0.422 0.248
Er: 0.235 0.235 0.553
Tl: 0.981 0.981 0.772
Tl: 0.019 0.019 0.228

Computed properties:
Magnetization = 0.0 μB/f.u.
ΔH_f (0 K) = 479.4 meV/atom

=====

(4)
Here is TbEr2Tl4 after structural relaxation from the Alexandria database. Energies are from GGA-PBE.

abc: 4.871 4.871 10.437
angles: 76.51 76.51 60.00
Sites, in units of the cell vectors:
Tb: 0.000 0.000 0.000
Er: 0.130 0.130 0.611
Er: 0.870 0.870 0.389
Tl: 0.383 0.383 0.852
Tl: 0.242 0.242 0.274
Tl: 0.758 0.758 0.726
Tl: 0.617 0.617 0.148

Computed properties:
Magnetization = 0.0 μB/f.u.
Polymorph energy (0 for the lowest one) = 145 meV per atom
ΔH_f (0 K) = -70.4 meV/atom

=====

(5)
Here is Tb3ErTl after structural relaxation from the Alexandria database. Energies are from GGA-PBE.

abc: 6.312 9.279 11.252
angles: 111.69 90.00 90.00
Sites, in units of the cell vectors:
Tb: 0.426 0.330 0.388
Tb: 0.574 0.670 0.612
Tb: 0.926 0.170 0.112
Tb: 0.074 0.830 0.888
Tb: 0.411 0.665 0.298
Tb: 0.589 0.335 0.702
Tb: 0.911 0.835 0.202
Tb: 0.089 0.165 0.798
Tb: 0.746 0.958 0.512
Tb: 0.254 0.042 0.488
Tb: 0.246 0.542 0.988
Tb: 0.754 0.458 0.012
Er: 0.907 0.538 0.344
Er: 0.093 0.462 0.656
Er: 0.407 0.962 0.156
Er: 0.593 0.038 0.844
Tl: 0.392 0.280 0.095
Tl: 0.608 0.720 0.905
Tl: 0.892 0.220 0.405
Tl: 0.108 0.780 0.595

Computed properties:
Magnetization = 0.0 μB/f.u.
Polymorph energy (0 for the lowest one) = 81 meV per atom
ΔH_f (0 K) = -43.8 meV/atom

=====

(6)
Here is Tb4Er9Tl11 after structural relaxation from the Alexandria database. Energies are from GGA-PBE.

abc: 3.561 14.009 14.009
angles: 109.79 90.00 90.00
Sites, in units of the cell vectors:
Tb: 0.500 0.586 0.749
Tb: 0.500 0.414 0.251
Tb: 0.500 0.749 0.586
Tb: 0.500 0.251 0.414
Er: 0.500 0.614 0.159
Er: 0.500 0.386 0.841
Er: 0.500 0.159 0.614
Er: 0.500 0.841 0.386
Er: 0.500 0.797 0.985
Er: 0.500 0.203 0.015
Er: 0.500 0.985 0.797
Er: 0.500 0.015 0.203
Er: 0.500 0.500 0.500
Tl: 0.000 0.590 0.951
Tl: 0.000 0.410 0.049
Tl: 0.000 0.951 0.590
Tl: 0.000 0.049 0.410
Tl: 0.000 0.624 0.376
Tl: 0.000 0.376 0.624
Tl: 0.000 0.813 0.187
Tl: 0.000 0.187 0.813
Tl: 0.000 0.000 0.000
Tl: 0.000 0.789 0.789
Tl: 0.000 0.211 0.211

Computed properties:
Magnetization = 0.0 μB/f.u.
ΔH_f (0 K) = -248.1 meV/atom

=====

(7)
Here is Tb3Er6Tl after structural relaxation from the Alexandria database. Energies are from GGA-PBE.

abc: 3.478 12.657 14.127
angles: 100.63 90.00 90.00
Sites, in units of the cell vectors:
Tb: 0.750 0.423 0.903
Tb: 0.250 0.577 0.097
Tb: 0.750 0.630 0.504
Tb: 0.250 0.370 0.496
Tb: 0.750 0.074 0.101
Tb: 0.250 0.926 0.899
Er: 0.750 0.490 0.690
Er: 0.250 0.510 0.310
Er: 0.750 0.808 0.076
Er: 0.250 0.192 0.924
Er: 0.750 0.342 0.118
Er: 0.250 0.658 0.882
Er: 0.750 0.752 0.309
Er: 0.250 0.248 0.691
Er: 0.750 0.114 0.467
Er: 0.250 0.886 0.533
Er: 0.750 0.774 0.715
Er: 0.250 0.226 0.285
Tl: 0.750 0.034 0.722
Tl: 0.250 0.966 0.278

Computed properties:
Magnetization = 0.0 μB/f.u.
Polymorph energy (0 for the lowest one) = 0 meV per atom
ΔH_f (0 K) = 18.1 meV/atom

=====

(8)
Here is Tb12Er2Tl after structural relaxation from the Alexandria database. Energies are from GGA-PBE.

abc: 6.664 6.664 23.966
angles: 85.50 94.50 64.46
Sites, in units of the cell vectors:
Tb: 0.609 0.460 0.806
Tb: 0.040 0.891 0.806
Tb: 0.755 0.745 0.898
Tb: 0.323 0.631 0.935
Tb: 0.047 0.973 0.325
Tb: 0.177 0.869 0.065
Tb: 0.665 0.358 0.557
Tb: 0.527 0.453 0.325
Tb: 0.236 0.264 0.848
Tb: 0.745 0.755 0.102
Tb: 0.175 0.325 0.579
Tb: 0.835 0.142 0.443
Tb: 0.973 0.047 0.675
Tb: 0.325 0.175 0.421
Tb: 0.264 0.236 0.152
Tb: 0.852 0.648 0.427
Tb: 0.648 0.852 0.573
Tb: 0.891 0.040 0.194
Tb: 0.142 0.835 0.557
Tb: 0.453 0.527 0.675
Tb: 0.869 0.177 0.935
Tb: 0.460 0.609 0.194
Tb: 0.358 0.665 0.443
Tb: 0.631 0.323 0.065
Er: 0.526 0.974 0.288
Er: 0.001 0.499 0.267
Er: 0.974 0.526 0.712
Er: 0.499 0.001 0.733
Tl: 0.451 0.049 0.983
Tl: 0.049 0.451 0.017

Computed properties:
Magnetization = 0.0 μB/f.u.
ΔH_f (0 K) = 63.5 meV/atom